The following is a PBE calculation of an optimized crystal structure of La3Zn3Ag2, from Alexandria. Values from VASP.

Quantum ESPRESSO input file:
```
&SYSTEM
  ibrav = 0, nat = 16, ntyp = 3
/
ATOMIC_SPECIES
Zn 65.41 Zn.upf
La 138.91 La.upf
Ag 107.87 Ag.upf
ATOMIC_POSITIONS angstrom
Zn -2.8608 -1.6401 4.1505
Zn -2.6695 -2.7081 8.5174
Zn -0.1700 -0.5469 11.8858
Zn -0.3613 0.5212 7.5189
Zn -1.5530 -4.0528 14.7249
Zn -1.4779 1.8658 1.3114
La -1.9040 -3.3311 11.5946
La -4.3838 0.9298 2.6487
La -1.1268 1.1442 4.4418
La 1.3529 -3.1168 13.3877
La -3.6063 -0.0065 6.9710
La 0.5755 -2.1805 9.0654
Ag -2.0131 -0.4088 9.8482
Ag -1.0177 -1.7782 6.1882
Ag -1.8174 -0.8151 1.7425
Ag -1.2135 -1.3718 14.2939
CELL_PARAMETERS angstrom
-0.9289 4.5223 1.1467
-4.7626 -3.5049 0.0974
2.6607 -3.2043 14.7922
```

## Properties
Formation enthalpy at 0 K ... -7.2 kcal/mol of atoms
VASP energy ... -3.349 eV per atom